Computed, not measured: a crystal of CuSiMo2 relaxed with PBEsol at the SCAN level of DFT.

Structure (POSCAR):
```
CuSiMo2
1.0
2.675 0.000 0.000
0.000 2.675 0.000
0.000 0.000 7.596
Cu Si Mo
1 1 2
Cartesian
0.000 0.000 0.000
0.000 0.000 3.798
1.337 1.337 1.919
1.337 1.337 5.676
```

Results
Its theoretical density is 8.663 g/cm³. The value obtained for the formation energy (no corrections) is 198.0 meV/atom. The calculation puts the density of states at the Fermi level at 3.0 states/eV/f.u.


Computed, not measured: a crystal of LiVBO4 relaxed with PBEsol at the SCAN level of DFT.

Structure (POSCAR):
```
LiVBO4
1.0
4.637 -6.780 0.000
4.637 6.780 0.000
0.000 0.000 5.121
Li V B O
4 4 4 16
Cartesian
4.399 3.384 0.000
4.874 3.384 2.561
4.399 -3.384 2.561
4.874 -3.384 0.000
2.092 1.321 1.530
2.092 -1.321 4.090
7.181 1.321 4.090
7.181 -1.321 1.530
2.849 1.569 3.810
2.849 -1.569 1.249
6.424 1.569 1.249
6.424 -1.569 3.810
3.980 4.691 1.376
3.302 2.273 2.714
3.068 1.930 5.094
2.105 0.460 3.354
5.293 4.691 3.937
2.105 -0.460 0.793
3.068 -1.930 2.534
5.972 2.273 0.154
3.302 -2.273 0.154
6.205 1.930 2.534
7.168 0.460 0.793
3.980 -4.691 3.937
7.168 -0.460 3.354
6.205 -1.930 5.094
5.972 -2.273 2.714
5.293 -4.691 1.376
```

Results
Its theoretical density is 2.737 g/cm³. The value obtained for the formation energy (no corrections) is -2546.1 meV/atom. The calculation puts the energy relative to the lowest polymorph listed for this composition at 0.00 eV/f.u. The calculation puts the density of states at the Fermi level at 0.0 states/eV/f.u.


Computed, not measured: a crystal of CaW3Cl relaxed with PBEsol at the SCAN level of DFT.

Structure (POSCAR):
```
CaW3Cl
1.0
4.689 0.000 0.000
0.000 4.689 0.000
0.000 0.000 4.689
Ca W Cl
1 3 1
Cartesian
0.000 0.000 0.000
0.000 0.000 2.344
0.000 2.344 0.000
2.344 0.000 0.000
2.344 2.344 2.344
```

Results
Its theoretical density is 10.101 g/cm³. The value obtained for the formation energy (no corrections) is 3889.7 meV/atom. The calculation puts the density of states at the Fermi level at 5.1 states/eV/f.u.


Computed, not measured: a crystal of Zn2H2Ru relaxed with PBEsol at the SCAN level of DFT.

Structure (POSCAR):
```
Zn2H2Ru
1.0
3.696 0.000 0.000
0.000 3.696 0.000
0.000 0.000 3.733
Zn H Ru
2 2 1
Cartesian
0.000 1.848 0.000
1.848 0.000 0.000
0.000 1.848 1.867
1.848 0.000 1.867
0.000 0.000 1.867
```

Results
Its theoretical density is 7.615 g/cm³. The value obtained for the total energy is -13.70 eV per atom. The calculation puts the density of states at the Fermi level at 1.2 states/eV/f.u.


Computed, not measured: a crystal of BaCrCu2Sb relaxed with PBEsol at the SCAN level of DFT.

Structure (POSCAR):
```
BaCrCu2Sb
1.0
4.888 0.000 0.000
0.000 4.888 0.000
0.000 0.000 4.898
Ba Cr Cu Sb
1 1 2 1
Cartesian
0.000 0.000 0.000
2.444 2.444 2.449
0.000 2.444 2.449
2.444 0.000 2.449
2.444 2.444 0.000
```

Results
Its theoretical density is 6.218 g/cm³. The value obtained for the formation energy (no corrections) is 136.0 meV/atom. The calculation puts the density of states at the Fermi level at 1.6 states/eV/f.u.


Computed, not measured: a crystal of AsPdSeBr2 relaxed with PBEsol at the SCAN level of DFT.

Structure (POSCAR):
```
AsPdSeBr2
1.0
5.072 0.000 0.000
0.000 5.072 0.000
0.000 0.000 5.081
As Pd Se Br
1 1 1 2
Cartesian
0.000 0.000 0.000
2.536 2.536 2.541
0.000 0.000 2.541
0.000 2.536 0.000
2.536 0.000 0.000
```

Results
Its theoretical density is 5.336 g/cm³. The value obtained for the formation energy (no corrections) is 462.6 meV/atom. The calculation puts the density of states at the Fermi level at 2.1 states/eV/f.u.


Computed, not measured: a crystal of LiRh3Au relaxed with PBEsol at the SCAN level of DFT.

Structure (POSCAR):
```
LiRh3Au
1.0
4.088 0.000 0.000
0.000 4.088 0.000
0.000 0.000 4.088
Li Rh Au
1 3 1
Cartesian
0.000 0.000 0.000
0.000 0.000 2.044
0.000 2.044 0.000
2.044 0.000 0.000
2.044 2.044 2.044
```

Results
The formation energy comes out at 650 meV/atom. Its theoretical density is 12.461 g/cm³. The calculation puts the density of states at the Fermi level at 3.7 states/eV/f.u.


Computed, not measured: a crystal of TlPbCl2 relaxed with PBEsol at the SCAN level of DFT.

Structure (POSCAR):
```
TlPbCl2
1.0
4.237 0.000 0.000
0.000 4.237 0.000
0.000 0.000 6.403
Tl Pb Cl
1 1 2
Cartesian
0.000 0.000 0.000
2.118 2.118 3.649
0.000 0.000 3.139
2.118 2.118 0.818
```

Results
Its theoretical density is 6.970 g/cm³. The value obtained for the formation energy (no corrections) is -709.5 meV/atom. The calculation puts the energy relative to the lowest polymorph listed for this composition at 0.13 eV/f.u. The calculation puts the density of states at the Fermi level at 2.2 states/eV/f.u.